Entry 1:
Compound: Ho4Si2Ge5
Source: Alexandria via LeMat-Bulk
Functional: PBE
Structure: relaxed

Cell: 6.8798 4.1044 8.0775 Å, 90.00 93.24 90.00°
Fractional positions:
Ho (0.2285, 0.0000, 0.3703)
Ho (0.2421, 0.0000, 0.8934)
Ho (0.7579, 0.0000, 0.1066)
Ho (0.7715, 0.0000, 0.6297)
Si (0.0878, 0.5000, 0.1290)
Si (0.9122, 0.5000, 0.8710)
Ge (0.1304, 0.5000, 0.6274)
Ge (0.4475, 0.5000, 0.1573)
Ge (0.5000, 0.5000, 0.5000)
Ge (0.5525, 0.5000, 0.8427)
Ge (0.8696, 0.5000, 0.3726)

Values from the calculation:
- SG: No. 10

Entry 2:
Compound: Ho4Si3Ge
Source: Alexandria via LeMat-Bulk
Functional: PBE
Structure: relaxed

Cell: 3.8526 4.2603 10.5338 Å, 90.00 90.00 90.00°
Fractional positions:
Ho (0.0000, 0.0000, 0.0000)
Ho (0.0000, 0.5000, 0.4961)
Ho (0.5000, 0.0000, 0.7179)
Ho (0.5000, 0.5000, 0.2192)
Si (0.0000, 0.0000, 0.2820)
Si (0.5000, 0.0000, 0.4357)
Si (0.5000, 0.5000, 0.9402)
Ge (0.0000, 0.5000, 0.7778)

Values from the calculation:
- SG: No. 25

Let's list total DFT energy (no corrections) in order: -59.53, -45.84 eV per cell.
Let's list calculated volume in order: 227.73, 172.89 Å³ per cell.